# NaMnSe2, PBEsol geometry, DFT meta-GGA SCAN
data_NaMnSe2
_cell_length_a 6.7145
_cell_length_b 6.7145
_cell_length_c 6.7145
_cell_angle_alpha 90.00
_cell_angle_beta 90.00
_cell_angle_gamma 90.00
_symmetry_space_group_name_H-M 'F m -3 m'
_symmetry_Int_Tables_number 225
_symmetry_space_group_name_Hall '-F 4 2 3'
loop_
_atom_site_label
_atom_site_fract_x
_atom_site_fract_y
_atom_site_fract_z
Na1 0.0000 0.0000 0.0000
Mn1 0.0000 0.0000 0.5000
Se1 0.2500 0.2500 0.2500
# - Energy relative to the elements, uncorrected: -0.596 eV/atom